[1]
First-principles (PBE-GGA) data for YPPt2 after structural relaxation, as listed in the Alexandria database.

Properties
E (eV per formula unit): -27.7
Space group: Pm

```
YPPt2
1.0
-2.676 -2.684 -2.139
-1.852 -0.905 3.453
-3.055 3.482 -0.548
P Y Pt
1 1 2
Direct
0.500 0.926 0.780
0.000 0.516 0.468
0.000 0.988 0.952
0.500 0.069 0.300
```

[2]
First-principles (PBE-GGA) data for YPPt2 after structural relaxation, as listed in the Alexandria database.

Properties
E (eV per formula unit): -27.1
Space group: R3m

```
YPPt2
1.0
-3.687 -4.351 -2.524
-0.441 -6.107 -1.186
-3.309 -5.123 1.307
Pt P Y
2 1 1
Direct
0.982 0.982 0.982
0.737 0.737 0.737
0.276 0.276 0.276
0.505 0.505 0.505
```

[3]
First-principles (PBE-GGA) data for Y2PPt6 after structural relaxation, as listed in the Alexandria database.

Properties
E (eV per formula unit): -63.4
Space group: C2/m

```
Y2PPt6
1.0
5.644 0.000 0.000
-2.822 4.751 1.068
0.000 0.091 6.021
Pt Y P
6 2 1
Direct
0.874 0.748 0.711
0.615 0.737 0.305
0.126 0.252 0.289
0.385 0.263 0.695
0.878 0.263 0.695
0.122 0.737 0.305
0.642 0.284 0.148
0.358 0.716 0.852
0.000 0.000 0.000
```

[4]
First-principles (PBE-GGA) data for YP2Pt after structural relaxation, as listed in the Alexandria database.

Properties
E (eV per formula unit): -27.6
Space group: I-4m2

```
YP2Pt
1.0
-1.359 4.927 2.298
-4.543 2.652 1.932
-0.222 -0.319 3.912
P Pt Y
2 1 1
Direct
0.073 0.073 0.552
0.302 0.302 0.323
0.437 0.437 0.688
0.687 0.687 0.937
```

Number 1 is which compound? YPPt2

What did the third record say?
First-principles (PBE-GGA) data for Y2PPt6 after structural relaxation, as listed in the Alexandria database.

Properties
E (eV per formula unit): -63.4
Space group: C2/m

```
Y2PPt6
1.0
5.644 0.000 0.000
-2.822 4.751 1.068
0.000 0.091 6.021
Pt Y P
6 2 1
Direct
0.874 0.748 0.711
0.615 0.737 0.305
0.126 0.252 0.289
0.385 0.263 0.695
0.878 0.263 0.695
0.122 0.737 0.305
0.642 0.284 0.148
0.358 0.716 0.852
0.000 0.000 0.000
```

Among the records above, which one has the highest E? number 2